Material: NaScIn4O8
Method: DFT, PBE
State: optimized geometry

Lattice parameters (Å, degrees): 6.425 6.425 6.425 61.04 61.04 61.04
Positions (direct):
Na 0.000 0.000 0.000
Sc 0.620 0.620 0.620
In 0.002 0.002 0.503
In 0.002 0.503 0.002
In 0.386 0.386 0.386
In 0.503 0.002 0.002
O 0.242 0.743 0.743
O 0.248 0.248 0.248
O 0.250 0.250 0.778
O 0.250 0.778 0.250
O 0.743 0.242 0.743
O 0.743 0.743 0.242
O 0.755 0.755 0.755
O 0.778 0.250 0.250

Summary:
**E**: -6.0355 eV/atom
**Density**: 5668 kg/m3
**Energy relative to the elements, uncorrected**: -1.87 eV per atom


Material: Na3ScIn3O8
Method: DFT, PBE
State: optimized geometry

Lattice parameters (Å, degrees): 6.736 6.736 6.736 57.98 57.98 57.98
Positions (direct):
Na 0.000 0.500 0.500
Na 0.500 0.000 0.500
Na 0.500 0.500 0.000
Sc 0.500 0.500 0.500
In 0.000 0.000 0.500
In 0.000 0.500 0.000
In 0.500 0.000 0.000
O 0.237 0.237 0.237
O 0.247 0.727 0.727
O 0.273 0.273 0.753
O 0.273 0.753 0.273
O 0.727 0.247 0.727
O 0.727 0.727 0.247
O 0.753 0.273 0.273
O 0.763 0.763 0.763

Summary:
**E**: -5.6624 eV/atom
**Density**: 4726 kg/m3
**Energy relative to the elements, uncorrected**: -1.78 eV per atom


Material: Na4Sc3InSi8O24
Method: DFT, PBE
State: optimized geometry

Lattice parameters (Å, degrees): 5.423 9.180 9.853 90.00 104.14 90.00
Positions (direct):
Na 0.000 0.000 0.000
Na 0.000 0.100 0.500
Na 0.500 0.502 0.500
Na 0.500 0.606 0.000
Sc 0.000 0.410 0.000
Sc 0.000 0.696 0.500
Sc 0.500 0.907 0.500
In 0.500 0.198 0.000
Si 0.204 0.715 0.210
Si 0.205 0.388 0.708
Si 0.294 0.214 0.291
Si 0.296 0.888 0.789
Si 0.704 0.888 0.211
Si 0.706 0.214 0.709
Si 0.795 0.388 0.292
Si 0.796 0.715 0.790
O 0.074 0.305 0.350
O 0.079 0.793 0.849
O 0.194 0.548 0.638
O 0.197 0.556 0.139
O 0.214 0.223 0.119
O 0.223 0.878 0.617
O 0.276 0.385 0.881
O 0.277 0.723 0.382
O 0.290 0.048 0.854
O 0.307 0.055 0.362
O 0.421 0.809 0.151
O 0.427 0.298 0.652
O 0.573 0.298 0.348
O 0.579 0.809 0.849
O 0.693 0.055 0.638
O 0.710 0.048 0.146
O 0.723 0.723 0.618
O 0.724 0.385 0.119
O 0.777 0.878 0.383
O 0.786 0.223 0.881
O 0.803 0.556 0.861
O 0.806 0.548 0.362
O 0.921 0.793 0.151
O 0.926 0.305 0.650

Summary:
**E**: -7.5055 eV/atom
**Density**: 3318 kg/m3
**Energy relative to the elements, uncorrected**: -2.77 eV per atom


Material: Na2InSeO
Method: DFT, PBE
State: optimized geometry

Lattice parameters (Å, degrees): 4.612 4.612 4.574 90.00 90.00 90.00
Positions (direct):
Na 0.000 0.500 0.000
Na 0.500 0.000 0.000
In 0.000 0.000 0.500
Se 0.500 0.500 0.500
O 0.000 0.000 0.000

Summary:
**E**: -3.7860 eV/atom
**Density**: 4365 kg/m3
**Energy relative to the elements, uncorrected**: -1.02 eV per atom


Material: Na2InSi2O6
Method: DFT, PBE
State: optimized geometry

Lattice parameters (Å, degrees): 5.514 5.514 6.307 116.07 116.07 62.27
Positions (direct):
Na 0.202 0.202 0.154
Na 0.798 0.798 0.846
In 0.000 0.000 0.500
Si 0.456 0.456 0.773
Si 0.544 0.544 0.227
O 0.208 0.684 0.218
O 0.259 0.259 0.602
O 0.316 0.792 0.782
O 0.684 0.208 0.218
O 0.741 0.741 0.398
O 0.792 0.316 0.782

Summary:
**E**: -6.1800 eV/atom
**Density**: 3568 kg/m3
**Energy relative to the elements, uncorrected**: -2.00 eV per atom


Material: NaSmIn4O8
Method: DFT, PBE
State: optimized geometry

Lattice parameters (Å, degrees): 6.582 6.582 6.582 60.48 60.48 60.48
Positions (direct):
Na 0.000 0.000 0.000
Sm 0.619 0.619 0.619
In 0.383 0.383 0.383
In 0.503 0.999 0.999
In 0.999 0.503 0.999
In 0.999 0.999 0.503
O 0.214 0.751 0.751
O 0.247 0.247 0.247
O 0.253 0.253 0.775
O 0.253 0.775 0.253
O 0.751 0.214 0.751
O 0.751 0.751 0.214
O 0.759 0.759 0.759
O 0.775 0.253 0.253

Summary:
**E**: -5.9017 eV/atom
**Density**: 6199 kg/m3
**Energy relative to the elements, uncorrected**: -1.85 eV per atom


Material: Na3Sm2InO6
Method: DFT, PBE
State: optimized geometry

Lattice parameters (Å, degrees): 5.973 5.973 5.957 99.44 99.44 120.09
Positions (direct):
Na 0.000 0.000 0.000
Na 0.343 0.657 0.000
Na 0.657 0.343 0.000
Sm 0.167 0.833 0.500
Sm 0.833 0.167 0.500
In 0.500 0.500 0.500
O 0.107 0.429 0.283
O 0.248 0.248 0.715
O 0.429 0.107 0.283
O 0.571 0.893 0.717
O 0.752 0.752 0.285
O 0.893 0.571 0.717

Summary:
**E**: -6.1215 eV/atom
**Density**: 5549 kg/m3
**Energy relative to the elements, uncorrected**: -2.30 eV per atom


Material: Na3SmIn2O6
Method: DFT, PBE
State: optimized geometry

Lattice parameters (Å, degrees): 5.812 5.812 5.939 99.26 99.26 120.09
Positions (direct):
Na 0.000 0.000 0.000
Na 0.326 0.674 0.000
Na 0.674 0.326 0.000
Sm 0.500 0.500 0.500
In 0.166 0.834 0.500
In 0.834 0.166 0.500
O 0.081 0.429 0.285
O 0.224 0.224 0.718
O 0.429 0.081 0.285
O 0.571 0.919 0.715
O 0.776 0.776 0.282
O 0.919 0.571 0.715

Summary:
**E**: -5.6162 eV/atom
**Density**: 5508 kg/m3
**Energy relative to the elements, uncorrected**: -1.96 eV per atom


Material: Na4In3SnO8
Method: DFT, PBE
State: optimized geometry

Lattice parameters (Å, degrees): 6.774 6.774 6.774 58.58 58.58 58.58
Positions (direct):
Na 0.000 0.000 0.000
Na 0.000 0.500 0.500
Na 0.500 0.000 0.500
Na 0.500 0.500 0.000
In 0.000 0.000 0.500
In 0.000 0.500 0.000
In 0.500 0.000 0.000
Sn 0.500 0.500 0.500
O 0.236 0.236 0.236
O 0.247 0.732 0.732
O 0.268 0.268 0.753
O 0.268 0.753 0.268
O 0.732 0.247 0.732
O 0.732 0.732 0.247
O 0.753 0.268 0.268
O 0.764 0.764 0.764

Summary:
**E**: -5.1615 eV/atom
**Density**: 5333 kg/m3
**Energy relative to the elements, uncorrected**: -1.59 eV per atom


Material: NaSr2InO
Method: DFT, PBE
State: optimized geometry

Lattice parameters (Å, degrees): 5.067 5.067 5.288 90.00 90.00 90.00
Positions (direct):
Na 0.000 0.000 0.000
Sr 0.000 0.500 0.500
Sr 0.500 0.000 0.500
In 0.500 0.500 0.000
O 0.000 0.000 0.500

Summary:
**E**: -3.5902 eV/atom
**Density**: 4026 kg/m3
**Energy relative to the elements, uncorrected**: -1.11 eV per atom